(1)
Density functional theory data (GGA-PBE) for an optimized crystal structure of Tb6P2PbS3.

a = 4.020 Å, b = 8.204 Å, c = 9.071 Å
α = 102.47°, β = 102.80°, γ = 90.00°
Sites, in units of the cell vectors:
1 S 0.166 0.832 0.331
2 S 0.500 0.500 0.000
3 S 0.834 0.168 0.669
4 Tb 0.330 0.421 0.660
5 Tb 0.670 0.579 0.340
6 Tb 0.997 0.727 0.994
7 Tb 0.003 0.273 0.006
8 Tb 0.326 0.902 0.651
9 Tb 0.674 0.098 0.349
10 Pb 0.500 0.000 0.000
11 P 0.832 0.664 0.664
12 P 0.168 0.336 0.336

Formation energy from raw total energies in eV per formula unit: -19.366
Total magnetization in μB per formula unit: 0.000
Mass density in g cm⁻³: 7.70
N(E_F) in states/eV/atom: 0.36

(2)
Density functional theory data (GGA-PBE) for an optimized crystal structure of Ac12CdGe7.

a = 9.955 Å, b = 9.955 Å, c = 9.955 Å
α = 110.22°, β = 110.22°, γ = 110.22°
Sites, in units of the cell vectors:
1 Ge 0.034 0.944 0.274
2 Ge 0.966 0.056 0.726
3 Ge 0.056 0.726 0.966
4 Ge 0.500 0.500 0.500
5 Ge 0.274 0.034 0.944
6 Ge 0.944 0.274 0.034
7 Ge 0.726 0.966 0.056
8 Cd 0.000 0.000 0.000
9 Ac 0.733 0.878 0.336
10 Ac 0.685 0.604 0.900
11 Ac 0.122 0.664 0.267
12 Ac 0.315 0.396 0.100
13 Ac 0.396 0.100 0.315
14 Ac 0.900 0.685 0.604
15 Ac 0.100 0.315 0.396
16 Ac 0.604 0.900 0.685
17 Ac 0.878 0.336 0.733
18 Ac 0.664 0.267 0.122
19 Ac 0.267 0.122 0.664
20 Ac 0.336 0.733 0.878

Total magnetization in μB per formula unit: 0.000
Mass density in g cm⁻³: 7.53
ΔE_f in eV per atom: -0.36
N(E_F) in states/eV/atom: 1.09

(3)
Density functional theory data (GGA-PBE) for an optimized crystal structure of Pr3InGe2Pt9.

a = 5.748 Å, b = 5.748 Å, c = 12.043 Å
α = 90.00°, β = 90.00°, γ = 120.00°
Sites, in units of the cell vectors:
1 Pr 0.333 0.667 0.767
2 Pr 0.667 0.333 0.233
3 Pr 0.000 0.000 0.000
4 Pt 0.839 0.161 0.688
5 Pt 0.000 0.500 0.000
6 Pt 0.500 0.000 0.000
7 Pt 0.323 0.161 0.688
8 Pt 0.500 0.500 0.000
9 Pt 0.839 0.677 0.688
10 Pt 0.161 0.839 0.312
11 Pt 0.161 0.323 0.312
12 Pt 0.677 0.839 0.312
13 In 0.000 0.000 0.500
14 Ge 0.667 0.333 0.838
15 Ge 0.333 0.667 0.162

Total magnetization in μB per formula unit: 0.000
Mass density in g cm⁻³: 11.75
ΔE_f in eV per atom: -0.68
N(E_F) in states/eV/atom: 0.54

(4)
Density functional theory data (GGA-PBE) for an optimized crystal structure of KSnHgPb.

a = 5.559 Å, b = 5.559 Å, c = 5.559 Å
α = 60.00°, β = 60.00°, γ = 60.00°
Sites, in units of the cell vectors:
1 Pb 0.500 0.500 0.500
2 K 0.750 0.750 0.750
3 Hg 0.000 0.000 0.000
4 Sn 0.250 0.250 0.250

Total magnetization in μB per formula unit: 0.000
Mass density in g cm⁻³: 7.73
ΔE_f in eV per atom: -0.08
N(E_F) in states/eV/atom: 0.96

(5)
Density functional theory data (GGA-PBE) for an optimized crystal structure of MgGaFe2.

a = 7.203 Å, b = 7.203 Å, c = 5.765 Å
α = 51.34°, β = 51.34°, γ = 90.00°
Each line ends with the local moment (μB).
Sites, in units of the cell vectors:
1 Ga 0.750 0.250 0.500  0.11
2 Ga 0.000 0.000 0.000  0.11
3 Mg 0.250 0.750 0.500  0.03
4 Mg 0.500 0.500 0.000  0.03
5 Fe 0.099 0.625 0.250  -2.59
6 Fe 0.375 0.349 0.750  -2.61
7 Fe 0.651 0.125 0.250  -2.60
8 Fe 0.875 0.901 0.750  -2.58

Total magnetization in μB per formula unit: 4.954
Mass density in g cm⁻³: 4.87
ΔE_f in eV per atom: 0.44
N(E_F) in states/eV/atom: 0.29

(6)
Density functional theory data (GGA-PBE) for an optimized crystal structure of Tb3Cd2Cu.

a = 3.592 Å, b = 3.592 Å, c = 11.493 Å
α = 90.00°, β = 90.00°, γ = 90.00°
Each line ends with the local moment (μB).
Sites, in units of the cell vectors:
1 Cd 0.500 0.500 0.176  0.00
2 Cd 0.500 0.500 0.824  0.00
3 Cu 0.500 0.500 0.500  0.00
4 Tb 0.000 0.000 0.645  -0.01
5 Tb 0.000 0.000 0.000  0.10
6 Tb 0.000 0.000 0.355  -0.01

Total magnetization in μB per formula unit: 0.120
Mass density in g cm⁻³: 8.57
ΔE_f in eV per atom: -0.28
N(E_F) in states/eV/atom: 0.86

| no. | volume (A^3/atom) |
| --- | --- |
| 1 | 23.7 |
| 2 | 36.9 |
| 3 | 23.0 |
| 4 | 30.4 |
| 5 | 17.5 |
| 6 | 24.7 |